[1]
# KLi3Nb PBE relaxed
# Energy relative to the lowest polymorph listed for this composition ... 0.3221 eV/atom
data_KLi3Nb
_chemical_formula_sum 'K1 Li3 Nb1'
_cell_length_a 4.840
_cell_length_b 4.840
_cell_length_c 4.840
_cell_angle_alpha 90.00
_cell_angle_beta 90.00
_cell_angle_gamma 90.00
_symmetry_space_group_name_H-M 'P m -3 m'
_symmetry_Int_Tables_number 221
_symmetry_space_group_name_Hall '-P 4 2 3'
loop_
_atom_site_label
_atom_site_fract_x
_atom_site_fract_y
_atom_site_fract_z
_atom_site_occupancy
K1 0.000 0.000 0.000 1
Li1 0.000 0.000 0.500 1
Nb1 0.500 0.500 0.500 1


[2]
# Ge2MoPb2 PBE relaxed
# Energy relative to the lowest polymorph listed for this composition ... 0.0000 eV/atom
data_Ge2MoPb2
_chemical_formula_sum 'Ge4 Mo2 Pb4'
_cell_length_a 3.572
_cell_length_b 3.572
_cell_length_c 18.285
_cell_angle_alpha 90.00
_cell_angle_beta 90.00
_cell_angle_gamma 90.00
_symmetry_space_group_name_H-M 'I 4/m m m'
_symmetry_Int_Tables_number 139
_symmetry_space_group_name_Hall '-I 4 2'
loop_
_atom_site_label
_atom_site_fract_x
_atom_site_fract_y
_atom_site_fract_z
_atom_site_occupancy
Ge1 0.000 0.500 0.250 1
Mo1 0.000 0.000 0.000 1
Pb1 0.000 0.000 0.410 1


no.,V (Å³ per atom)
1,22.7
2,23.3